# Rb2ZnTcRu

Rb2ZnTcRu after structural relaxation (PBE, the Alexandria database).

Values from the calculation:
Magnetization   5.85 μB per formula unit
Formation energy from the elements   1.749 eV per atom
D(E_F)   6.8 states/eV per cell
Theoretical density   3.7 Mg/m³

Cell lengths 6.291, 6.291, 4.895 Å; angles 90.00, 90.00, 90.00 degrees
Sites, in units of the cell vectors:
Rb: 0.000 0.500 0.000
Rb: 0.500 0.000 0.000
Zn: 0.000 0.000 0.500
Tc: 0.500 0.500 0.500
Ru: 0.000 0.000 0.000


# La2Nd2Sm4Y

La2Nd2Sm4Y after structural relaxation (PBE, the Alexandria database).

Values from the calculation:
Magnetization   0.00 μB per formula unit
Formation energy from the elements   0.009 eV per atom
D(E_F)   12.8 states/eV per cell
Theoretical density   6.7 Mg/m³

Cell lengths 9.760, 9.760, 9.815 Å; angles 115.19, 115.19, 21.82 degrees
Sites, in units of the cell vectors:
La: 0.166 0.166 0.000
La: 0.834 0.834 0.000
Nd: 0.353 0.353 0.335
Nd: 0.647 0.647 0.665
Sm: 0.019 0.019 0.332
Sm: 0.315 0.315 0.665
Sm: 0.685 0.685 0.335
Sm: 0.981 0.981 0.668
Y: 0.500 0.500 0.000


# AlAsSe2Br

AlAsSe2Br after structural relaxation (PBE, the Alexandria database).

Values from the calculation:
Magnetization   0.00 μB per formula unit
D(E_F)   5.1 states/eV per cell
Formation energy without anion corrections   0.286 eV per atom
Theoretical density   4.6 Mg/m³

Cell lengths 4.784, 4.784, 5.318 Å; angles 90.00, 90.00, 90.00 degrees
Sites, in units of the cell vectors:
Al: 0.000 0.000 0.000
As: 0.000 0.000 0.500
Se: 0.000 0.500 0.000
Se: 0.500 0.000 0.000
Br: 0.500 0.500 0.500


# Te2PdC

Te2PdC after structural relaxation (PBE, the Alexandria database).

Values from the calculation:
Magnetization   0.00 μB per formula unit
D(E_F)   6.6 states/eV per cell
Formation energy without anion corrections   1.097 eV per atom
Theoretical density   7.7 Mg/m³

Cell lengths 3.353, 3.353, 24.929 Å; angles 90.00, 90.00, 120.00 degrees
Sites, in units of the cell vectors:
Te: 0.000 0.000 0.104
Te: 0.000 0.000 0.896
Te: 0.333 0.667 0.562
Te: 0.333 0.667 0.771
Te: 0.667 0.333 0.229
Te: 0.667 0.333 0.438
Pd: 0.000 0.000 0.000
Pd: 0.333 0.667 0.667
Pd: 0.667 0.333 0.333
C: 0.000 0.000 0.500
C: 0.333 0.667 0.167
C: 0.667 0.333 0.833


# K2SrScOs

K2SrScOs after structural relaxation (PBE, the Alexandria database).

Values from the calculation:
Magnetization   0.00 μB per formula unit
Formation energy from the elements   0.811 eV per atom
D(E_F)   4.4 states/eV per cell
Theoretical density   3.3 Mg/m³

Cell lengths 6.412, 6.412, 4.938 Å; angles 90.00, 90.00, 90.00 degrees
Sites, in units of the cell vectors:
K: 0.000 0.500 0.000
K: 0.500 0.000 0.000
Sr: 0.000 0.000 0.500
Sc: 0.500 0.500 0.500
Os: 0.500 0.500 0.000


# Tm2AuC

Tm2AuC after structural relaxation (PBE, the Alexandria database).

Values from the calculation:
Magnetization   0.01 μB per formula unit
Formation energy from the elements   -0.561 eV per atom
D(E_F)   9.0 states/eV per cell
Theoretical density   11.5 Mg/m³

Cell lengths 3.632, 3.632, 20.769 Å; angles 90.00, 90.00, 120.00 degrees
Sites, in units of the cell vectors:
Tm: 0.000 0.000 0.229
Tm: 0.000 0.000 0.771
Tm: 0.333 0.667 0.437
Tm: 0.333 0.667 0.896
Tm: 0.667 0.333 0.104
Tm: 0.667 0.333 0.563
Au: 0.000 0.000 0.000
Au: 0.333 0.667 0.667
Au: 0.667 0.333 0.333
C: 0.000 0.000 0.500
C: 0.333 0.667 0.167
C: 0.667 0.333 0.833


# ZrPaTc2

ZrPaTc2 after structural relaxation (PBE, the Alexandria database).

Values from the calculation:
Magnetization   0.00 μB per formula unit
Formation energy from the elements   -0.319 eV per atom
D(E_F)   6.2 states/eV per cell
Theoretical density   11.2 Mg/m³

Cell lengths 4.834, 3.394, 9.327 Å; angles 90.00, 90.00, 90.00 degrees
Sites, in units of the cell vectors:
Zr: 0.250 0.000 0.116
Zr: 0.750 0.000 0.884
Pa: 0.250 0.000 0.634
Pa: 0.750 0.000 0.366
Tc: 0.250 0.500 0.379
Tc: 0.250 0.500 0.874
Tc: 0.750 0.500 0.126
Tc: 0.750 0.500 0.621


# ThCo2C

ThCo2C after structural relaxation (PBE, the Alexandria database).

Values from the calculation:
Magnetization   0.00 μB per formula unit
Formation energy from the elements   -0.010 eV per atom
D(E_F)   10.7 states/eV per cell
Theoretical density   10.3 Mg/m³

Cell lengths 5.618, 5.618, 6.382 Å; angles 90.00, 90.00, 120.00 degrees
Sites, in units of the cell vectors:
Th: 0.000 0.706 0.167
Th: 0.294 0.294 0.500
Th: 0.706 0.000 0.833
Co: 0.177 0.503 0.824
Co: 0.326 0.823 0.491
Co: 0.497 0.674 0.158
Co: 0.503 0.177 0.176
Co: 0.674 0.497 0.842
Co: 0.823 0.326 0.509
C: 0.000 0.689 0.667
C: 0.311 0.311 0.000
C: 0.689 0.000 0.333


# ReF6

ReF6 after structural relaxation (PBE, the Alexandria database).

Values from the calculation:
Magnetization   1.00 μB per formula unit
D(E_F)   16.9 states/eV per cell
Formation energy without anion corrections   -2.119 eV per atom
Theoretical density   3.6 Mg/m³

Cell lengths 6.510, 6.510, 6.510 Å; angles 90.00, 90.00, 90.00 degrees
Sites, in units of the cell vectors:
Re: 0.000 0.000 0.000
Re: 0.500 0.500 0.500
F: 0.000 0.000 0.287
F: 0.000 0.000 0.713
F: 0.000 0.287 0.000
F: 0.000 0.713 0.000
F: 0.213 0.500 0.500
F: 0.287 0.000 0.000
F: 0.500 0.213 0.500
F: 0.500 0.500 0.213
F: 0.500 0.500 0.787
F: 0.500 0.787 0.500
F: 0.713 0.000 0.000
F: 0.787 0.500 0.500


# BaLi3O

BaLi3O after structural relaxation (PBE, the Alexandria database).

Values from the calculation:
Magnetization   1.32 μB per formula unit
D(E_F)   14.4 states/eV per cell
Formation energy without anion corrections   1.304 eV per atom
Theoretical density   1.1 Mg/m³

Cell lengths 6.321, 6.321, 6.321 Å; angles 90.00, 90.00, 90.00 degrees
Sites, in units of the cell vectors:
Ba: 0.000 0.000 0.000
Li: 0.000 0.000 0.500
Li: 0.000 0.500 0.000
Li: 0.500 0.000 0.000
O: 0.500 0.500 0.500


# Mg3TiAl

Mg3TiAl after structural relaxation (PBE, the Alexandria database).

Values from the calculation:
Magnetization   0.00 μB per formula unit
Formation energy from the elements   0.819 eV per atom
D(E_F)   6.3 states/eV per cell
Theoretical density   2.0 Mg/m³

Cell lengths 5.006, 5.006, 5.006 Å; angles 90.00, 90.00, 90.00 degrees
Sites, in units of the cell vectors:
Mg: 0.000 0.000 0.500
Mg: 0.000 0.500 0.000
Mg: 0.500 0.000 0.000
Ti: 0.500 0.500 0.500
Al: 0.000 0.000 0.000


# CsLiLa2V

CsLiLa2V after structural relaxation (PBE, the Alexandria database).

Values from the calculation:
Magnetization   2.79 μB per formula unit
Formation energy from the elements   1.366 eV per atom
D(E_F)   5.0 states/eV per cell
Theoretical density   4.3 Mg/m³

Cell lengths 5.956, 5.956, 5.137 Å; angles 90.00, 90.00, 90.00 degrees
Sites, in units of the cell vectors:
Cs: 0.000 0.000 0.000
Li: 0.500 0.500 0.500
La: 0.000 0.500 0.000
La: 0.500 0.000 0.000
V: 0.000 0.000 0.500


# Mg2ScZn

Mg2ScZn after structural relaxation (PBE, the Alexandria database).

Values from the calculation:
Magnetization   0.00 μB per formula unit
Formation energy from the elements   -0.139 eV per atom
D(E_F)   4.1 states/eV per cell
Theoretical density   3.3 Mg/m³

Cell lengths 4.833, 4.833, 6.805 Å; angles 90.00, 90.00, 90.00 degrees
Sites, in units of the cell vectors:
Mg: 0.000 0.000 0.000
Mg: 0.000 0.500 0.250
Mg: 0.500 0.000 0.750
Mg: 0.500 0.500 0.500
Sc: 0.000 0.500 0.750
Sc: 0.500 0.000 0.250
Zn: 0.000 0.000 0.500
Zn: 0.500 0.500 0.000


# Ac4Te6Cl

Ac4Te6Cl after structural relaxation (PBE, the Alexandria database).

Values from the calculation:
Magnetization   0.00 μB per formula unit
D(E_F)   7.2 states/eV per cell
Formation energy without anion corrections   -1.453 eV per atom
Theoretical density   7.0 Mg/m³

Cell lengths 10.117, 10.117, 4.598 Å; angles 90.00, 90.00, 120.00 degrees
Sites, in units of the cell vectors:
Ac: 0.000 0.000 0.000
Ac: 0.015 0.508 0.500
Ac: 0.492 0.508 0.500
Ac: 0.492 0.985 0.500
Te: 0.207 0.415 0.000
Te: 0.207 0.793 0.000
Te: 0.279 0.139 0.500
Te: 0.585 0.793 0.000
Te: 0.861 0.139 0.500
Te: 0.861 0.721 0.500
Cl: 0.667 0.333 0.000


# Cr2AsIr

Cr2AsIr after structural relaxation (PBE, the Alexandria database).

Values from the calculation:
Magnetization   0.00 μB per formula unit
Formation energy from the elements   0.070 eV per atom
D(E_F)   3.6 states/eV per cell
Theoretical density   11.6 Mg/m³

Cell lengths 2.776, 3.857, 4.951 Å; angles 90.00, 90.00, 90.00 degrees
Sites, in units of the cell vectors:
Cr: 0.000 0.000 0.229
Cr: 0.000 0.000 0.771
As: 0.500 0.500 0.000
Ir: 0.500 0.500 0.500


# SrHfNi3

SrHfNi3 after structural relaxation (PBE, the Alexandria database).

Values from the calculation:
Magnetization   0.00 μB per formula unit
Formation energy from the elements   1.492 eV per atom
D(E_F)   5.4 states/eV per cell
Theoretical density   7.3 Mg/m³

Cell lengths 4.661, 4.661, 4.661 Å; angles 90.00, 90.00, 90.00 degrees
Sites, in units of the cell vectors:
Sr: 0.000 0.000 0.000
Hf: 0.500 0.500 0.500
Ni: 0.000 0.000 0.500
Ni: 0.000 0.500 0.000
Ni: 0.500 0.000 0.000


# CrGe3N

CrGe3N after structural relaxation (PBE, the Alexandria database).

Values from the calculation:
Magnetization   0.00 μB per formula unit
D(E_F)   9.0 states/eV per cell
Formation energy without anion corrections   0.995 eV per atom
Theoretical density   6.4 Mg/m³

Cell lengths 4.197, 4.197, 4.197 Å; angles 90.00, 90.00, 90.00 degrees
Sites, in units of the cell vectors:
Cr: 0.000 0.000 0.000
Ge: 0.000 0.500 0.500
Ge: 0.500 0.000 0.500
Ge: 0.500 0.500 0.000
N: 0.500 0.500 0.500


# AcLa2Nd4Sm

AcLa2Nd4Sm after structural relaxation (PBE, the Alexandria database).

Values from the calculation:
Magnetization   0.00 μB per formula unit
Formation energy from the elements   0.020 eV per atom
D(E_F)   13.8 states/eV per cell
Theoretical density   7.0 Mg/m³

Cell lengths 5.273, 5.300, 10.504 Å; angles 90.00, 90.10, 90.00 degrees
Sites, in units of the cell vectors:
Ac: 0.000 0.000 0.000
La: 0.000 0.000 0.500
La: 0.500 0.500 0.000
Nd: 0.000 0.500 0.256
Nd: 0.000 0.500 0.744
Nd: 0.500 0.000 0.256
Nd: 0.500 0.000 0.744
Sm: 0.500 0.500 0.500


# MgTaSi

MgTaSi after structural relaxation (PBE, the Alexandria database).

Values from the calculation:
Magnetization   0.00 μB per formula unit
D(E_F)   2.2 states/eV per cell
Formation energy without anion corrections   -0.244 eV per atom
Theoretical density   7.0 Mg/m³

Cell lengths 3.998, 3.998, 6.933 Å; angles 90.00, 90.00, 90.00 degrees
Sites, in units of the cell vectors:
Mg: 0.250 0.250 0.154
Mg: 0.750 0.750 0.846
Ta: 0.250 0.750 0.500
Ta: 0.750 0.250 0.500
Si: 0.250 0.250 0.759
Si: 0.750 0.750 0.241


# CsTb3Te4

CsTb3Te4 after structural relaxation (PBE, the Alexandria database).

Values from the calculation:
Magnetization   0.00 μB per formula unit
D(E_F)   6.8 states/eV per cell
Formation energy without anion corrections   -1.352 eV per atom
Theoretical density   6.7 Mg/m³

Cell lengths 4.466, 4.466, 31.963 Å; angles 90.00, 90.00, 120.00 degrees
Sites, in units of the cell vectors:
Cs: 0.333 0.667 0.250
Cs: 0.667 0.333 0.750
Tb: 0.000 0.000 0.000
Tb: 0.000 0.000 0.500
Tb: 0.333 0.667 0.609
Tb: 0.333 0.667 0.891
Tb: 0.667 0.333 0.109
Tb: 0.667 0.333 0.391
Te: 0.000 0.000 0.163
Te: 0.000 0.000 0.337
Te: 0.000 0.000 0.663
Te: 0.000 0.000 0.837
Te: 0.333 0.667 0.054
Te: 0.333 0.667 0.446
Te: 0.667 0.333 0.554
Te: 0.667 0.333 0.946


# Rb2ScOsBr6

Rb2ScOsBr6 after structural relaxation (PBE, the Alexandria database).

Values from the calculation:
Magnetization   1.00 μB per formula unit
D(E_F)   3.1 states/eV per cell
Formation energy without anion corrections   -0.943 eV per atom
Theoretical density   4.9 Mg/m³

Cell lengths 7.521, 7.521, 7.521 Å; angles 120.09, 120.09, 89.84 degrees
Sites, in units of the cell vectors:
Rb: 0.250 0.750 0.500
Rb: 0.750 0.250 0.500
Sc: 0.000 0.000 0.000
Os: 0.500 0.500 0.000
Br: 0.254 0.254 0.000
Br: 0.255 0.255 0.509
Br: 0.255 0.745 0.000
Br: 0.745 0.255 0.000
Br: 0.745 0.745 0.491
Br: 0.746 0.746 0.000


# Re2TcB2

Re2TcB2 after structural relaxation (PBE, the Alexandria database).

Values from the calculation:
Magnetization   0.00 μB per formula unit
Formation energy from the elements   -0.101 eV per atom
D(E_F)   5.6 states/eV per cell
Theoretical density   14.7 Mg/m³

Cell lengths 6.156, 6.156, 2.939 Å; angles 90.00, 90.00, 90.00 degrees
Sites, in units of the cell vectors:
Re: 0.153 0.347 0.000
Re: 0.347 0.847 0.000
Re: 0.653 0.153 0.000
Re: 0.847 0.653 0.000
Tc: 0.000 0.000 0.500
Tc: 0.500 0.500 0.500
B: 0.140 0.640 0.500
B: 0.360 0.140 0.500
B: 0.640 0.860 0.500
B: 0.860 0.360 0.500


# Sm7Bi2Pd2

Sm7Bi2Pd2 after structural relaxation (PBE, the Alexandria database).

Values from the calculation:
Magnetization   0.00 μB per formula unit
Formation energy from the elements   -0.419 eV per atom
D(E_F)   10.9 states/eV per cell
Theoretical density   7.9 Mg/m³

Cell lengths 7.164, 7.164, 7.079 Å; angles 90.00, 90.00, 104.46 degrees
Sites, in units of the cell vectors:
Sm: 0.000 0.000 0.000
Sm: 0.000 0.500 0.254
Sm: 0.000 0.500 0.746
Sm: 0.500 0.000 0.254
Sm: 0.500 0.000 0.746
Sm: 0.500 0.500 0.236
Sm: 0.500 0.500 0.764
Bi: 0.191 0.191 0.500
Bi: 0.809 0.809 0.500
Pd: 0.277 0.723 0.000
Pd: 0.723 0.277 0.000


# NdSn2Cl8

NdSn2Cl8 after structural relaxation (PBE, the Alexandria database).

Values from the calculation:
Magnetization   0.00 μB per formula unit
D(E_F)   6.2 states/eV per cell
Formation energy without anion corrections   -1.321 eV per atom
Theoretical density   3.0 Mg/m³

Cell lengths 7.475, 7.475, 6.865 Å; angles 101.41, 101.41, 83.95 degrees
Sites, in units of the cell vectors:
Nd: 0.000 0.000 0.000
Sn: 0.306 0.306 0.491
Sn: 0.694 0.694 0.509
Cl: 0.026 0.665 0.739
Cl: 0.159 0.159 0.764
Cl: 0.335 0.974 0.261
Cl: 0.452 0.452 0.247
Cl: 0.548 0.548 0.753
Cl: 0.665 0.026 0.739
Cl: 0.841 0.841 0.236
Cl: 0.974 0.335 0.261


# Tm3VFe8

Tm3VFe8 after structural relaxation (PBE, the Alexandria database).

Values from the calculation:
Magnetization   12.57 μB per formula unit
Formation energy from the elements   -0.111 eV per atom
D(E_F)   8.7 states/eV per cell
Theoretical density   9.4 Mg/m³

Cell lengths 8.676, 8.676, 8.676 Å; angles 33.55, 33.55, 33.55 degrees
Sites, in units of the cell vectors:
Tm: 0.000 0.000 0.000
Tm: 0.127 0.127 0.127
Tm: 0.622 0.622 0.622
V: 0.499 0.499 0.499
Fe: 0.060 0.060 0.560
Fe: 0.060 0.560 0.060
Fe: 0.067 0.563 0.563
Fe: 0.312 0.312 0.312
Fe: 0.560 0.060 0.060
Fe: 0.563 0.067 0.563
Fe: 0.563 0.563 0.067
Fe: 0.812 0.812 0.812